DyMnAgF6 | PBE with a Hubbard U | optimized geometry

The space group is P4_2nm (No. 102) and the conventional cell measures 5.2762, 5.2762 and 10.5086 Å, with angles of 90.00, 90.00 and 90.00 degrees. Symmetry generates all atoms from Dy at (0.0000, 0.0000, 0.0000), Mn at (0.0000, 0.0000, 0.3373), Ag at (0.0000, 0.0000, 0.6692), F at (0.1757, 0.1757, 0.1708), F at (0.2074, 0.2074, 0.4800) and F at (0.2152, 0.2152, 0.8580).

The value obtained for the spin magnetization is 9.912 μB per cell. As for the total energy: -5.831 eV/atom.